DFT (PBE) results for a relaxed structure of NaDySi2O6.

## Properties
The total moment comes out at 0.0 μB per formula unit. The calculation puts the raw total energy at -7.5476 eV per atom.

Unit cell a=6.918 b=6.918 c=5.377 alpha=101.76 beta=101.76 gamma=86.26
Sites, in units of the cell vectors:
Dy1 0.887 0.113 0.250
Dy2 0.113 0.887 0.750
Na1 0.313 0.687 0.250
Na2 0.687 0.313 0.750
O1 0.365 0.334 0.024
O2 0.204 0.042 0.163
O3 0.879 0.404 0.167
O4 0.596 0.121 0.333
O5 0.958 0.796 0.337
O6 0.666 0.635 0.476
O7 0.334 0.365 0.524
O8 0.042 0.204 0.663
O9 0.404 0.879 0.667
O10 0.121 0.596 0.833
O11 0.796 0.958 0.837
O12 0.635 0.666 0.976
Si1 0.794 0.625 0.241
Si2 0.375 0.206 0.259
Si3 0.625 0.794 0.741
Si4 0.206 0.375 0.759

***

DFT (PBE) results for a relaxed structure of NaDyTe2O8.

## Properties
The total moment comes out at 0.0 μB per formula unit. The calculation puts the raw total energy at -5.9135 eV per atom.

Unit cell a=6.668 b=6.668 c=6.668 alpha=134.17 beta=134.17 gamma=66.82
Sites, in units of the cell vectors:
Dy1 0.000 0.000 0.000
Na1 0.250 0.750 0.500
O1 0.832 0.405 0.065
O2 0.669 0.093 0.082
O3 0.413 0.331 0.424
O4 0.595 0.660 0.426
O5 0.234 0.168 0.574
O6 0.907 0.989 0.576
O7 0.011 0.587 0.918
O8 0.340 0.766 0.935
Te1 0.500 0.500 0.000
Te2 0.750 0.250 0.500